An optimized crystal structure of Sr2GaSi3Pd4, computed with PBE.

a = 4.398 Å, b = 4.398 Å, c = 9.908 Å
α = 90.00°, β = 90.00°, γ = 90.00°
Space group P-4m2 (No. 115)
One atom of each set of equivalent atoms:
1 Sr 0.000 0.500 0.250
2 Ga 0.000 0.000 0.500
3 Si 0.000 0.500 0.882
4 Si 0.500 0.500 0.500
5 Pd 0.000 0.000 0.000
6 Pd 0.000 0.500 0.632
7 Pd 0.500 0.500 0.000

Results
Formation energy without anion corrections: -0.723 eV/atom

---

An optimized crystal structure of TaHg2Au, computed with PBE.

a = 3.023 Å, b = 3.023 Å, c = 8.753 Å
α = 90.00°, β = 90.00°, γ = 90.00°
Space group P4mm (No. 99)
One atom of each set of equivalent atoms:
1 Ta 0.000 0.000 0.000
2 Hg 0.000 0.000 0.475
3 Hg 0.500 0.500 0.758
4 Au 0.500 0.500 0.218

Results
ΔH_f (0 K): 0.181 eV/atom
Offset from the most stable computed form: 0 meV per atom

---

An optimized crystal structure of TaVH, computed with PBE.

a = 4.604 Å, b = 3.200 Å, c = 9.258 Å
α = 90.00°, β = 90.00°, γ = 90.00°
Space group Pnma (No. 62)
One atom of each set of equivalent atoms:
1 Ta 0.001 0.250 0.130
2 V 0.006 0.250 0.630
3 H 0.105 0.250 0.441

Results
Offset from the most stable computed form: 0 meV per atom

---

An optimized crystal structure of TaBeIn2, computed with PBE.

a = 3.105 Å, b = 3.981 Å, c = 6.138 Å
α = 90.00°, β = 90.00°, γ = 90.00°
Space group Pmm2 (No. 25)
One atom of each set of equivalent atoms:
1 Ta 0.000 0.000 0.000
2 Be 0.500 0.500 0.169
3 In 0.000 0.000 0.454
4 In 0.500 0.500 0.745

Results
ΔH_f (0 K): 0.407 eV/atom

---

An optimized crystal structure of KLiTiO3, computed with PBE.

a = 5.560 Å, b = 10.338 Å, c = 5.445 Å
α = 90.00°, β = 90.00°, γ = 90.00°
Space group Cmcm (No. 63)
One atom of each set of equivalent atoms:
1 K 0.000 0.231 0.250
2 Li 0.000 0.070 0.750
3 Ti 0.000 0.443 0.750
4 O 0.000 0.271 0.750
5 O 0.232 0.500 0.000

Results
Formation energy without anion corrections: -2.533 eV/atom

---

An optimized crystal structure of ReBC, computed with PBE.

a = 2.859 Å, b = 3.036 Å, c = 14.177 Å
α = 90.00°, β = 90.00°, γ = 90.00°
Space group Immm (No. 71)
One atom of each set of equivalent atoms:
1 Re 0.000 0.000 0.147
2 B 0.000 0.246 0.000
3 C 0.000 0.000 0.313

Results
ΔH_f (0 K): 0.800 eV/atom

---

Please write out number 3 again, unchanged.
An optimized crystal structure of TaVH, computed with PBE.

a = 4.604 Å, b = 3.200 Å, c = 9.258 Å
α = 90.00°, β = 90.00°, γ = 90.00°
Space group Pnma (No. 62)
One atom of each set of equivalent atoms:
1 Ta 0.001 0.250 0.130
2 V 0.006 0.250 0.630
3 H 0.105 0.250 0.441

Results
Offset from the most stable computed form: 0 meV per atom